Record 1
# YICl2 (PBE-GGA, optimized geometry)
# ΔE to the lowest computed polymorph = 0.578 eV per atom
# Volume = 32.57 Å³/atom
# Final energy = -0.317 Ry per atom
data_YICl2
_chemical_formula_sum 'Y3 I3 Cl6'
_space_group_name_H-M_alt 'R -3 m'
_space_group_IT_number 166
_space_group_name_Hall '-R 3 2"'
_cell_length_a 3.7157
_cell_length_b 3.7157
_cell_length_c 32.6853
_cell_angle_alpha 90.00
_cell_angle_beta 90.00
_cell_angle_gamma 120.00
loop_
_atom_site_label
_atom_site_type_symbol
_atom_site_fract_x
_atom_site_fract_y
_atom_site_fract_z
Y1 Y 0.0000 0.0000 0.0000
I1 I 0.0000 0.0000 0.5000
Cl1 Cl 0.0000 0.0000 0.3840

***

Record 2
# NaSrMoRh2 (PBE-GGA, optimized geometry)
# Energy of formation = 1917.0 meV per atom
# Volume = 28.87 Å³/atom
# Final energy = -0.279 Ry per atom
data_NaSrMoRh2
_chemical_formula_sum 'Na1 Sr1 Mo1 Rh2'
_space_group_name_H-M_alt 'P 4/m m m'
_space_group_IT_number 123
_space_group_name_Hall '-P 4 2'
_cell_length_a 5.0606
_cell_length_b 5.0606
_cell_length_c 5.6368
_cell_angle_alpha 90.00
_cell_angle_beta 90.00
_cell_angle_gamma 90.00
loop_
_atom_site_label
_atom_site_type_symbol
_atom_site_fract_x
_atom_site_fract_y
_atom_site_fract_z
Na1 Na 0.0000 0.0000 0.0000
Sr1 Sr 0.5000 0.5000 0.5000
Mo1 Mo 0.5000 0.5000 0.0000
Rh1 Rh 0.0000 0.5000 0.5000

***

Record 3
# TlCo3P (PBE-GGA, optimized geometry)
# ΔE to the lowest computed polymorph = 1.723 eV per atom
# Energy of formation = 1935.8 meV per atom
# Volume = 21.37 Å³/atom
# Final energy = -0.285 Ry per atom
data_TlCo3P
_chemical_formula_sum 'Tl1 Co3 P1'
_space_group_name_H-M_alt 'P m -3 m'
_space_group_IT_number 221
_space_group_name_Hall '-P 4 2 3'
_cell_length_a 4.7450
_cell_length_b 4.7450
_cell_length_c 4.7450
_cell_angle_alpha 90.00
_cell_angle_beta 90.00
_cell_angle_gamma 90.00
loop_
_atom_site_label
_atom_site_type_symbol
_atom_site_fract_x
_atom_site_fract_y
_atom_site_fract_z
Tl1 Tl 0.0000 0.0000 0.0000
Co1 Co 0.0000 0.0000 0.5000
P1 P 0.5000 0.5000 0.5000

***

Record 4
# KFe3B (PBE-GGA, optimized geometry)
# Energy of formation = 3172.9 meV per atom
# Volume = 16.75 Å³/atom
# Final energy = -0.254 Ry per atom
data_KFe3B
_chemical_formula_sum 'K1 Fe3 B1'
_space_group_name_H-M_alt 'P m -3 m'
_space_group_IT_number 221
_space_group_name_Hall '-P 4 2 3'
_cell_length_a 4.3755
_cell_length_b 4.3755
_cell_length_c 4.3755
_cell_angle_alpha 90.00
_cell_angle_beta 90.00
_cell_angle_gamma 90.00
loop_
_atom_site_label
_atom_site_type_symbol
_atom_site_fract_x
_atom_site_fract_y
_atom_site_fract_z
K1 K 0.0000 0.0000 0.0000
Fe1 Fe 0.0000 0.0000 0.5000
B1 B 0.5000 0.5000 0.5000

***

Record 5
# Hf2InTePd (PBE-GGA, optimized geometry)
# Volume = 26.01 Å³/atom
# Final energy = -0.444 Ry per atom
data_Hf2InTePd
_chemical_formula_sum 'Hf2 In1 Te1 Pd1'
_space_group_name_H-M_alt 'P 4/m m m'
_space_group_IT_number 123
_space_group_name_Hall '-P 4 2'
_cell_length_a 5.1132
_cell_length_b 5.1132
_cell_length_c 4.9737
_cell_angle_alpha 90.00
_cell_angle_beta 90.00
_cell_angle_gamma 90.00
loop_
_atom_site_label
_atom_site_type_symbol
_atom_site_fract_x
_atom_site_fract_y
_atom_site_fract_z
Hf1 Hf 0.0000 0.5000 0.0000
In1 In 0.0000 0.0000 0.5000
Te1 Te 0.5000 0.5000 0.5000
Pd1 Pd 0.0000 0.0000 0.0000

***

Record 6
# HgP (PBE-GGA, optimized geometry)
# ΔE to the lowest computed polymorph = 0.575 eV per atom
# Energy of formation = 604.3 meV per atom
# Volume = 21.17 Å³/atom
# Final energy = -0.165 Ry per atom
data_HgP
_chemical_formula_sum 'Hg2 P2'
_space_group_name_H-M_alt 'P 63/m m c'
_space_group_IT_number 194
_space_group_name_Hall '-P 6c 2c'
_cell_length_a 3.7219
_cell_length_b 3.7219
_cell_length_c 7.0597
_cell_angle_alpha 90.00
_cell_angle_beta 90.00
_cell_angle_gamma 120.00
loop_
_atom_site_label
_atom_site_type_symbol
_atom_site_fract_x
_atom_site_fract_y
_atom_site_fract_z
Hg1 Hg 0.0000 0.0000 0.0000
P1 P 0.3333 0.6667 0.2500

***

Record 7
# TbYCd (PBE-GGA, optimized geometry)
# ΔE to the lowest computed polymorph = 0.000 eV per atom
# Energy of formation = -204.4 meV per atom
# Volume = 28.61 Å³/atom
# Final energy = -0.309 Ry per atom
data_TbYCd
_chemical_formula_sum 'Tb2 Y2 Cd2'
_space_group_name_H-M_alt 'I 4 m m'
_space_group_IT_number 107
_space_group_name_Hall 'I 4 -2'
_cell_length_a 3.6305
_cell_length_b 3.6305
_cell_length_c 13.0232
_cell_angle_alpha 90.00
_cell_angle_beta 90.00
_cell_angle_gamma 90.00
loop_
_atom_site_label
_atom_site_type_symbol
_atom_site_fract_x
_atom_site_fract_y
_atom_site_fract_z
Tb1 Tb 0.0000 0.0000 0.0000
Y1 Y 0.0000 0.0000 0.6890
Cd1 Cd 0.0000 0.0000 0.3440

***

Record 8
# Dy2Tl2Hg (PBE-GGA, optimized geometry)
# ΔE to the lowest computed polymorph = 0.000 eV per atom
# Energy of formation = -288.2 meV per atom
# Volume = 27.31 Å³/atom
# Final energy = -0.230 Ry per atom
data_Dy2Tl2Hg
_chemical_formula_sum 'Dy8 Tl8 Hg4'
_space_group_name_H-M_alt 'C 1 2/m 1'
_space_group_IT_number 12
_cell_length_a 11.4711
_cell_length_b 4.7781
_cell_length_c 11.0075
_cell_angle_alpha 90.00
_cell_angle_beta 115.14
_cell_angle_gamma 90.00
loop_
_space_group_symop_operation_xyz
'x,y,z'
'-x,-y,-z'
'-x,y,-z'
'x,-y,z'
'x+1/2,y+1/2,z'
'-x+1/2,-y+1/2,-z'
'-x+1/2,y+1/2,-z'
'x+1/2,-y+1/2,z'
loop_
_atom_site_label
_atom_site_type_symbol
_atom_site_fract_x
_atom_site_fract_y
_atom_site_fract_z
Dy1 Dy 0.0193 0.0000 0.3260
Dy2 Dy 0.1738 0.0000 0.0901
Tl1 Tl 0.0417 0.5000 0.8838
Tl2 Tl 0.1472 0.5000 0.5433
Hg1 Hg 0.2373 0.5000 0.2922

***

Record 9
# La2CePd (PBE-GGA, optimized geometry)
# ΔE to the lowest computed polymorph = 0.269 eV per atom
# Energy of formation = -46.6 meV per atom
# Volume = 31.55 Å³/atom
# Final energy = -0.389 Ry per atom
data_La2CePd
_chemical_formula_sum 'La6 Ce3 Pd3'
_space_group_name_H-M_alt 'R -3 m'
_space_group_IT_number 166
_space_group_name_Hall '-R 3 2"'
_cell_length_a 3.6905
_cell_length_b 3.6905
_cell_length_c 32.0956
_cell_angle_alpha 90.00
_cell_angle_beta 90.00
_cell_angle_gamma 120.00
loop_
_atom_site_label
_atom_site_type_symbol
_atom_site_fract_x
_atom_site_fract_y
_atom_site_fract_z
La1 La 0.0000 0.0000 0.1031
Ce1 Ce 0.0000 0.0000 0.0000
Pd1 Pd 0.0000 0.0000 0.5000

***

Record 10
# Si2NiAg (PBE-GGA, optimized geometry)
# ΔE to the lowest computed polymorph = 0.153 eV per atom
# Volume = 14.52 Å³/atom
# Final energy = -0.348 Ry per atom
data_Si2NiAg
_chemical_formula_sum 'Si6 Ni3 Ag3'
_space_group_name_H-M_alt 'R 3 m'
_space_group_IT_number 160
_space_group_name_Hall 'R 3 -2"'
_cell_length_a 2.9600
_cell_length_b 2.9600
_cell_length_c 22.9687
_cell_angle_alpha 90.00
_cell_angle_beta 90.00
_cell_angle_gamma 120.00
loop_
_atom_site_label
_atom_site_type_symbol
_atom_site_fract_x
_atom_site_fract_y
_atom_site_fract_z
Si1 Si 0.0000 0.0000 0.0000
Si2 Si 0.0000 0.0000 0.2534
Ni1 Ni 0.0000 0.0000 0.5198
Ag1 Ag 0.0000 0.0000 0.7582

***

Record 11
# Tb2PuTlC (PBE-GGA, optimized geometry)
# Energy of formation = -266.1 meV per atom
# Volume = 23.71 Å³/atom
# Final energy = -0.537 Ry per atom
data_Tb2PuTlC
_chemical_formula_sum 'Tb2 Pu1 Tl1 C1'
_space_group_name_H-M_alt 'P 4/m m m'
_space_group_IT_number 123
_space_group_name_Hall '-P 4 2'
_cell_length_a 5.0097
_cell_length_b 5.0097
_cell_length_c 4.7245
_cell_angle_alpha 90.00
_cell_angle_beta 90.00
_cell_angle_gamma 90.00
loop_
_atom_site_label
_atom_site_type_symbol
_atom_site_fract_x
_atom_site_fract_y
_atom_site_fract_z
Tb1 Tb 0.0000 0.5000 0.0000
Pu1 Pu 0.0000 0.0000 0.5000
Tl1 Tl 0.5000 0.5000 0.5000
C1 C 0.0000 0.0000 0.0000

***

Record 12
# TmPuTlIn (PBE-GGA, optimized geometry)
# ΔE to the lowest computed polymorph = 0.033 eV per atom
# Energy of formation = -190.4 meV per atom
# Volume = 26.98 Å³/atom
# Final energy = -0.453 Ry per atom
data_TmPuTlIn
_chemical_formula_sum 'Tm4 Pu4 Tl4 In4'
_space_group_name_H-M_alt 'F -4 3 m'
_space_group_IT_number 216
_space_group_name_Hall 'F -4 2 3'
_cell_length_a 7.5572
_cell_length_b 7.5572
_cell_length_c 7.5572
_cell_angle_alpha 90.00
_cell_angle_beta 90.00
_cell_angle_gamma 90.00
loop_
_atom_site_label
_atom_site_type_symbol
_atom_site_fract_x
_atom_site_fract_y
_atom_site_fract_z
Tm1 Tm 0.0000 0.0000 0.0000
Pu1 Pu 0.0000 0.0000 0.5000
Tl1 Tl 0.2500 0.2500 0.7500
In1 In 0.2500 0.2500 0.2500